# 1
DFT (PBE) results for a relaxed CeHoScSe3 crystal.

a = 4.019 Å, b = 7.956 Å, c = 9.788 Å
α = 104.74°, β = 90.00°, γ = 90.00°
Site moments in Bohr magnetons follow the coordinates.
Atoms (fractional coordinates):
Ho 0.250 0.668 0.094  -0.02
Ho 0.750 0.332 0.906  -0.02
Sc 0.250 0.152 0.617  -0.01
Sc 0.750 0.848 0.383  -0.01
Se 0.750 0.208 0.456  0.01
Se 0.750 0.915 0.117  0.01
Se 0.250 0.513 0.794  0.01
Se 0.250 0.792 0.544  0.01
Se 0.250 0.085 0.883  0.01
Se 0.750 0.487 0.206  0.01
Ce 0.750 0.807 0.782  -0.89
Ce 0.250 0.193 0.218  -0.89

Values from the calculation:
Its space group is P2_1/m. The value obtained for the total energy is -73.45 eV/cell. The density of states at the Fermi level is 1.429 states/eV/atom. The formation energy without anion corrections comes out at -1.5714 eV per atom.



# 2
DFT (PBE) results for a relaxed CaNiSb2 crystal.

a = 3.342 Å, b = 3.343 Å, c = 8.863 Å
α = 90.00°, β = 90.00°, γ = 89.98°
Atoms (fractional coordinates):
Sb 0.500 0.500 0.277
Sb 0.000 0.000 0.906
Ni 0.500 0.500 0.778
Ca 0.000 0.000 0.538

Values from the calculation:
Its space group is P4mm. The value obtained for the total energy is -16.86 eV/cell. The density of states at the Fermi level is 0.370 states/eV/atom. The formation energy without anion corrections comes out at -0.2090 eV per atom.



# 3
DFT (PBE) results for a relaxed Nd12Sm2Sc5 crystal.

a = 10.873 Å, b = 8.810 Å, c = 8.384 Å
α = 83.26°, β = 90.00°, γ = 128.10°
Atoms (fractional coordinates):
Sc 0.234 0.469 0.481
Sc 0.355 0.710 0.130
Sc 0.000 0.000 0.500
Sc 0.766 0.531 0.519
Sc 0.645 0.290 0.870
Nd 0.617 0.637 0.804
Nd 0.153 0.777 0.394
Nd 0.847 0.223 0.606
Nd 0.980 0.363 0.196
Nd 0.383 0.363 0.196
Nd 0.377 0.223 0.606
Nd 0.020 0.637 0.804
Nd 0.421 0.843 0.718
Nd 0.623 0.777 0.394
Nd 0.579 0.157 0.282
Nd 0.863 0.727 0.132
Nd 0.137 0.273 0.868
Sm 0.276 0.000 0.000
Sm 0.724 0.000 0.000

Values from the calculation:
Its space group is C2/m. The value obtained for the total energy is -95.56 eV/cell. For the formation energy, the calculation gives 0.144 eV per atom. The density of states at the Fermi level is 1.491 states/eV/atom.



# 4
DFT (PBE) results for a relaxed Zr4Pt3 crystal.

a = 11.579 Å, b = 11.579 Å, c = 11.579 Å
α = 162.72°, β = 162.72°, γ = 24.53°
Atoms (fractional coordinates):
Pt 0.000 0.000 0.000
Pt 0.712 0.712 0.000
Pt 0.288 0.288 0.000
Zr 0.570 0.570 0.000
Zr 0.843 0.843 0.000
Zr 0.430 0.430 0.000
Zr 0.157 0.157 0.000

Values from the calculation:
Its space group is I4/mmm. The value obtained for the total energy is -57.83 eV/cell. For the formation energy, the calculation gives -0.788 eV per atom. The density of states at the Fermi level is 0.660 states/eV/atom.



# 5
DFT (PBE) results for a relaxed PuGa3PtAu crystal.

a = 5.810 Å, b = 6.396 Å, c = 8.261 Å
α = 112.78°, β = 90.00°, γ = 90.00°
Site moments in Bohr magnetons follow the coordinates.
Atoms (fractional coordinates):
Ga 0.000 0.720 0.000  -0.01
Ga 0.250 0.230 0.460  0.08
Ga 0.750 0.770 0.540  0.08
Ga 0.500 0.720 0.000  -0.01
Ga 0.500 0.280 0.000  -0.01
Ga 0.000 0.280 0.000  -0.01
Au 0.250 0.389 0.779  0.01
Au 0.750 0.611 0.221  0.01
Pu 0.250 0.843 0.687  5.48
Pu 0.750 0.157 0.313  5.48
Pt 0.750 0.929 0.858  -0.01
Pt 0.250 0.071 0.142  -0.01

Values from the calculation:
Its space group is Cmcm. The value obtained for the total energy is -68.68 eV/cell. For the formation energy, the calculation gives -0.268 eV per atom. The density of states at the Fermi level is 2.540 states/eV/atom.



# 6
DFT (PBE) results for a relaxed CsSeF3 crystal.

a = 5.098 Å, b = 5.098 Å, c = 5.098 Å
α = 90.00°, β = 90.00°, γ = 90.00°
Site moments in Bohr magnetons follow the coordinates.
Atoms (fractional coordinates):
F 0.000 0.500 0.000  -0.15
F 0.500 0.000 0.000  0.02
F 0.000 0.000 0.500  -0.35
Cs 0.000 0.000 0.000  -0.28
Se 0.500 0.500 0.500  1.64

Values from the calculation:
Its space group is Pm-3m. The value obtained for the total energy is -13.25 eV/cell. The density of states at the Fermi level is 0.761 states/eV/atom. The formation energy without anion corrections comes out at -0.6587 eV per atom.